# 1
Compound: Tl2Se2I
Source: Alexandria via LeMat-Bulk
Functional: PBEsol
Structure: optimized geometry

```
Tl2Se2I
1.0
3.960 0.000 0.000
0.000 3.960 0.000
-1.980 -1.980 9.512
I Tl Se
1 2 2
Direct
0.000 0.000 0.000
0.390 0.390 0.780
0.610 0.610 0.220
0.250 0.750 0.500
0.750 0.250 0.500
```

Values from the calculation:
Volume (Å³ per atom): 29.8
Density of states at the Fermi level (states/eV per cell): 1.43
Final energy (eV for the cell shown): -16.21

=====

# 2
Compound: Tl5Se2I
Source: Alexandria via LeMat-Bulk
Functional: PBEsol
Structure: optimized geometry

```
Tl5Se2I
1.0
-0.233 -8.290 -2.114
-1.072 2.245 8.638
-6.415 1.569 -5.443
I Se Tl
2 4 10
Direct
0.750 0.500 0.750
0.250 0.500 0.250
0.340 0.000 0.160
0.660 0.000 0.840
0.160 0.000 0.660
0.840 0.000 0.340
0.500 0.000 0.500
0.000 0.000 0.000
0.715 0.718 0.502
0.002 0.718 0.215
0.502 0.718 0.002
0.215 0.718 0.715
0.785 0.282 0.285
0.498 0.282 0.998
0.998 0.282 0.785
0.285 0.282 0.498
```

Values from the calculation:
Volume (Å³ per atom): 30.4
Final energy (eV for the cell shown): -51.55

=====

# 3
Compound: TlSeI3
Source: Alexandria via LeMat-Bulk
Functional: PBEsol
Structure: optimized geometry

```
TlSeI3
1.0
-5.209 -2.212 0.765
2.338 -5.009 1.432
0.116 1.620 5.475
I Tl Se
3 1 1
Direct
0.000 0.500 0.000
0.000 0.000 0.500
0.500 0.000 0.000
0.500 0.500 0.500
0.000 0.000 0.000
```

Values from the calculation:
Volume (Å³ per atom): 37.2
Density of states at the Fermi level (states/eV per cell): 3.49
Relative energy among the computed polymorphs (eV per formula unit): 0.00

=====

# 4
Compound: Tl6SeI4
Source: Alexandria via LeMat-Bulk
Functional: PBEsol
Structure: optimized geometry

```
Tl6SeI4
1.0
-3.260 -6.821 -4.875
8.341 -2.108 -2.628
0.905 -5.824 7.544
Tl Se I
12 2 8
Direct
0.681 0.890 0.500
0.319 0.110 0.500
0.610 0.819 0.000
0.110 0.681 0.500
0.890 0.319 0.500
0.181 0.610 0.000
0.819 0.390 0.000
0.390 0.181 0.000
0.000 0.000 0.808
0.500 0.500 0.692
0.000 0.000 0.192
0.500 0.500 0.308
0.000 0.000 0.500
0.500 0.500 0.000
0.164 0.336 0.750
0.664 0.164 0.750
0.336 0.836 0.750
0.836 0.664 0.750
0.836 0.664 0.250
0.336 0.836 0.250
0.664 0.164 0.250
0.164 0.336 0.250
```

Values from the calculation:
Volume (Å³ per atom): 35.2
Final energy (eV for the cell shown): -64.82

=====

# 5
Compound: WSeI2
Source: Alexandria via LeMat-Bulk
Functional: PBEsol
Structure: optimized geometry

```
WSeI2
1.0
-0.747 2.214 -2.441
2.924 -4.441 -4.924
-8.464 -3.716 -0.781
I W Se
4 2 2
Direct
0.750 0.592 0.686
0.250 0.133 0.677
0.750 0.867 0.323
0.250 0.408 0.314
0.250 0.440 0.886
0.750 0.560 0.114
0.750 0.237 0.001
0.250 0.763 0.999
```

Values from the calculation:
Volume (Å³ per atom): 28.3
Density of states at the Fermi level (states/eV per cell): 2.34
Final energy (eV for the cell shown): -44.62

=====

# 6
Compound: Y2SeI
Source: Alexandria via LeMat-Bulk
Functional: PBEsol
Structure: optimized geometry

```
Y2SeI
1.0
5.101 0.000 0.000
2.551 4.418 0.000
2.551 1.473 4.165
I Y Se
1 2 1
Direct
0.500 0.500 0.500
0.250 0.250 0.250
0.750 0.750 0.750
0.000 0.000 0.000
```

Values from the calculation:
Volume (Å³ per atom): 23.5
Density of states at the Fermi level (states/eV per cell): 2.65
Final energy (eV for the cell shown): -23.92

=====

Question: What is the volume in the sixth record?
Answer: 23.5 Å³ per atom